Below is Ba3CeNi2O8 after structural relaxation, with properties calculated at the GGA+U level.

Cell lengths 6.010, 6.010, 7.616 Å; angles 90.00, 90.00, 120.00 degrees
Each line ends with the local moment (μB).
Fractional positions:
Ba 0.000 0.000 0.000  -0.01
Ba 0.667 0.333 0.341  0.01
Ba 0.333 0.667 0.659  0.01
O 0.660 0.830 0.322  0.14
O 0.170 0.830 0.322  0.14
O 0.830 0.170 0.678  0.14
O 0.333 0.667 0.982  0.35
O 0.340 0.170 0.678  0.14
O 0.830 0.660 0.678  0.14
O 0.170 0.340 0.322  0.14
O 0.667 0.333 0.018  0.35
Ce 0.000 0.000 0.500  0.21
Ni 0.667 0.333 0.788  2.00
Ni 0.333 0.667 0.212  2.00

Properties
size of the total moment = 6.0 Bohr magnetons per cell
V = 17.016 Å³ per atom
density = 5.559 g cm⁻³
E = -6.143 eV/atom